Computed, not measured: crystalline Pa6TiSe12 at its relaxed geometry at the PBE level of DFT.

Cell lengths 8.117, 8.117, 8.117 Å; angles 99.50, 99.50, 99.50 degrees
Sites, in units of the cell vectors:
Se: 0.429 0.568 0.179
Se: 0.932 0.020 0.682
Se: 0.571 0.432 0.821
Se: 0.179 0.429 0.568
Se: 0.980 0.318 0.068
Se: 0.821 0.571 0.432
Se: 0.020 0.682 0.932
Se: 0.318 0.068 0.980
Se: 0.682 0.932 0.020
Se: 0.568 0.179 0.429
Se: 0.068 0.980 0.318
Se: 0.432 0.821 0.571
Pa: 0.298 0.129 0.639
Pa: 0.361 0.702 0.871
Pa: 0.871 0.361 0.702
Pa: 0.129 0.639 0.298
Pa: 0.702 0.871 0.361
Pa: 0.639 0.298 0.129
Ti: 0.000 0.000 0.000

Calculated values
- Formation energy from raw total energies: -120.6 kJ/mol of atoms
- Total moment: 0.531 μB/atom
- VASP energy: -6.86 eV per atom